Entry 1:
Below is a relaxed PmPr8Hg2 crystal, with properties calculated at the PBE level.

Computed properties:
- SG = No. 12
- energy (eV per atom) = -4.031

abc: 8.915 8.915 5.849
angles: 100.51 100.51 118.95
Atoms (fractional coordinates):
Pm1 0.000 0.000 0.000
Pr1 0.090 0.316 0.603
Pr2 0.227 0.773 0.000
Pr3 0.316 0.090 0.603
Pr4 0.400 0.400 0.199
Pr5 0.600 0.600 0.801
Pr6 0.684 0.910 0.397
Pr7 0.773 0.227 0.000
Pr8 0.910 0.684 0.397
Hg1 0.306 0.694 0.500
Hg2 0.694 0.306 0.500


Entry 2:
Below is a relaxed Sc3SbRh4 crystal, with properties calculated at the PBE level.

Computed properties:
- energy relative to the elements, uncorrected (eV/atom) = -0.91
- SG = No. 166

abc: 7.961 7.961 7.961
angles: 33.25 33.25 33.25
Atoms (fractional coordinates):
Sc1 0.000 0.000 0.000
Sc2 0.249 0.249 0.249
Sc3 0.751 0.751 0.751
Sb1 0.500 0.500 0.500
Rh1 0.121 0.121 0.121
Rh2 0.374 0.374 0.374
Rh3 0.626 0.626 0.626
Rh4 0.879 0.879 0.879


Number 1: N(E_F) 13.47 states/eV per cell. Number 2: N(E_F) 6.44 states/eV per cell.